Record 1
Below is crystalline NaMnPtI2 at its relaxed geometry, with properties calculated at the GGA-PBE level.

Summary:
**Symmetry**: P4/mmm, No. 123
**Total magnetic moment**: 4.8 μB per cell
**DOS at the Fermi energy**: 0.863 states/eV per atom

Cell lengths 5.568, 5.568, 5.102 Å; angles 90.00, 90.00, 90.00 degrees
Positions (direct):
1 Na 0.000 0.000 0.000
2 Mn 0.500 0.500 0.500
3 Pt 0.000 0.000 0.500
4 I 0.000 0.500 0.000
5 I 0.500 0.000 0.000

---

Record 2
Below is crystalline RbNaMn2I6 at its relaxed geometry, with properties calculated at the GGA-PBE level.

Summary:
**Symmetry**: C2/c, No. 15
**Total magnetic moment**: 20.0 μB per cell
**DOS at the Fermi energy**: 0.000 states/eV per atom

Cell lengths 10.482, 10.482, 8.415 Å; angles 102.84, 102.84, 83.24 degrees
Positions (direct):
1 Rb 0.186 0.814 0.750
2 Rb 0.814 0.186 0.250
3 Na 0.403 0.597 0.250
4 Na 0.597 0.403 0.750
5 Mn 0.120 0.305 0.761
6 Mn 0.305 0.120 0.261
7 Mn 0.695 0.880 0.739
8 Mn 0.880 0.695 0.239
9 I 0.101 0.171 0.004
10 I 0.117 0.587 0.338
11 I 0.171 0.101 0.504
12 I 0.305 0.476 0.857
13 I 0.413 0.883 0.162
14 I 0.476 0.305 0.357
15 I 0.524 0.695 0.643
16 I 0.587 0.117 0.838
17 I 0.695 0.524 0.143
18 I 0.829 0.899 0.496
19 I 0.883 0.413 0.662
20 I 0.899 0.829 0.996

---

Record 3
Below is crystalline RbNa3Mn4I12 at its relaxed geometry, with properties calculated at the GGA-PBE level.

Summary:
**Symmetry**: R32, No. 155
**Total magnetic moment**: 20.0 μB per cell
**DOS at the Fermi energy**: 0.000 states/eV per atom

Cell lengths 10.375, 10.375, 10.375 Å; angles 105.62, 105.62, 105.62 degrees
Positions (direct):
1 Rb 0.000 0.000 0.000
2 Na 0.000 0.557 0.443
3 Na 0.443 0.000 0.557
4 Na 0.557 0.443 0.000
5 Mn 0.063 0.500 0.937
6 Mn 0.500 0.500 0.500
7 Mn 0.500 0.937 0.063
8 Mn 0.937 0.063 0.500
9 I 0.056 0.663 0.782
10 I 0.095 0.905 0.500
11 I 0.218 0.337 0.944
12 I 0.337 0.944 0.218
13 I 0.342 0.658 0.500
14 I 0.500 0.095 0.905
15 I 0.500 0.342 0.658
16 I 0.658 0.500 0.342
17 I 0.663 0.782 0.056
18 I 0.782 0.056 0.663
19 I 0.905 0.500 0.095
20 I 0.944 0.218 0.337

---

Number 1: VASP energy -3.087 eV/atom, formation energy from raw total energies 839 meV per atom. Number 2: VASP energy -3.803 eV/atom, formation energy from raw total energies -811 meV per atom. Number 3: VASP energy -3.708 eV/atom, formation energy from raw total energies -698 meV per atom.